# Sm4Ga16Cu3

An optimized crystal structure of Sm4Ga16Cu3 (GGA-PBE, Alexandria via LeMat-Bulk).

CIF file:
```
data_Sm4Ga16Cu3
_chemical_formula_sum 'Sm4 Ga16 Cu3'
_cell_length_a 6.260
_cell_length_b 6.260
_cell_length_c 11.122
_cell_angle_alpha 90.00
_cell_angle_beta 90.00
_cell_angle_gamma 90.00
_symmetry_space_group_name_H-M 'P 4/m m m'
_symmetry_Int_Tables_number 123
_symmetry_space_group_name_Hall '-P 4 2'
loop_
_atom_site_label
_atom_site_fract_x
_atom_site_fract_y
_atom_site_fract_z
_atom_site_occupancy
Sm1 0.000 0.500 0.191 1
Ga1 0.000 0.000 0.200 1
Ga2 0.213 0.213 0.000 1
Ga3 0.242 0.242 0.381 1
Ga4 0.500 0.500 0.233 1
Cu1 0.000 0.500 0.500 1
Cu2 0.500 0.500 0.000 1
```

Computed properties:
Total DFT energy (no corrections), eV per atom: -3.87
Energy of formation from the pure elements, eV/atom: -0.41

***

# OsCl

An optimized crystal structure of OsCl (GGA-PBE, Alexandria via LeMat-Bulk).

CIF file:
```
data_OsCl
_chemical_formula_sum 'Os16 Cl16'
_cell_length_a 6.736
_cell_length_b 7.070
_cell_length_c 15.010
_cell_angle_alpha 90.00
_cell_angle_beta 90.00
_cell_angle_gamma 90.00
_symmetry_space_group_name_H-M 'F d d d'
_symmetry_Int_Tables_number 70
loop_
_symmetry_equiv_pos_as_xyz
'x,y,z'
'-x,-y,-z'
'-x+1/4,-y+1/4,z'
'x+1/4,y+1/4,-z'
'x,-y+1/4,-z+1/4'
'-x,y+1/4,z+1/4'
'-x+1/4,y,-z+1/4'
'x+1/4,-y,z+1/4'
'x,y+1/2,z+1/2'
'-x,-y+1/2,-z+1/2'
'-x+1/4,-y+3/4,z+1/2'
'x+1/4,y+3/4,-z+1/2'
'x,-y+3/4,-z+3/4'
'-x,y+3/4,z+3/4'
'-x+1/4,y+1/2,-z+3/4'
'x+1/4,-y+1/2,z+3/4'
'x+1/2,y,z+1/2'
'-x+1/2,-y,-z+1/2'
'-x+3/4,-y+1/4,z+1/2'
'x+3/4,y+1/4,-z+1/2'
'x+1/2,-y+1/4,-z+3/4'
'-x+1/2,y+1/4,z+3/4'
'-x+3/4,y,-z+3/4'
'x+3/4,-y,z+3/4'
'x+1/2,y+1/2,z'
'-x+1/2,-y+1/2,-z'
'-x+3/4,-y+3/4,z'
'x+3/4,y+3/4,-z'
'x+1/2,-y+3/4,-z+1/4'
'-x+1/2,y+3/4,z+1/4'
'-x+3/4,y+1/2,-z+1/4'
'x+3/4,-y+1/2,z+1/4'
loop_
_atom_site_label
_atom_site_fract_x
_atom_site_fract_y
_atom_site_fract_z
_atom_site_occupancy
Os1 0.125 0.125 0.004 1
Cl1 0.113 0.375 0.375 1
```

Computed properties:
Formation energy from raw total energies, eV per atom: 1.397
ΔE to the lowest computed polymorph, meV/atom: 1273
Total DFT energy (no corrections), eV per atom: -5.14